Below is crystalline K2MgIn3Bi4 at its relaxed geometry, with properties calculated at the PBE-GGA level.

DOS at the Fermi energy in states/eV/atom: 0.210

a b c (Å): 5.0271 5.0271 14.1403
angles (deg): 90.00 90.00 90.00
Last column: nearest neighbours and their distance in Å.
Element x y z (fractional)
1 K 0.0000 0.5000 0.2492  6 In 3.88-4.33, 8 Bi 3.94-4.35, 2 Mg 4.33
2 K 0.5000 0.0000 0.7508  6 In 3.88-4.33, 8 Bi 3.94-4.35, 2 Mg 4.33
3 Mg 0.5000 0.5000 0.0000  4 Bi 3.11
4 In 0.0000 0.0000 0.0000  4 Bi 3.11
5 In 0.0000 0.5000 0.6400  5 Bi 3.20-3.26
6 In 0.5000 0.0000 0.3600  5 Bi 3.20-3.26
7 Bi 0.0000 0.0000 0.5000  4 In 3.20, 4 Bi 3.55
8 Bi 0.0000 0.5000 0.8707  3 In 3.11-3.26, 2 Mg 3.11
9 Bi 0.5000 0.0000 0.1293  3 In 3.11-3.26, 2 Mg 3.11
10 Bi 0.5000 0.5000 0.5000  4 In 3.20, 4 Bi 3.55

***

Below is crystalline DyThGeTe at its relaxed geometry, with properties calculated at the PBE-GGA level.

DOS at the Fermi energy in states/eV/atom: 0.493

a b c (Å): 7.5985 7.5985 7.5985
angles (deg): 32.94 32.94 32.94
Last column: nearest neighbours and their distance in Å.
Element x y z (fractional)
1 Dy 0.0000 0.0000 0.0000  3 Ge 2.91, 3 Te 3.16
2 Th 0.5209 0.5209 0.5209  3 Ge 2.97, 3 Te 3.25
3 Ge 0.2628 0.2628 0.2628  3 Dy 2.91, 3 Th 2.97
4 Te 0.7573 0.7573 0.7573  3 Dy 3.16, 3 Th 3.25

***

| no. | uncorrected energy (eV per atom) |
| --- | --- |
| 1 | -2.9496 |
| 2 | -6.0435 |